No. 1
NaPW3 | GGA-PBE | optimized geometry

CIF file:
```
data_NaPW3
_chemical_formula_sum 'Na1 P1 W3'
_cell_length_a 4.538
_cell_length_b 4.538
_cell_length_c 4.538
_cell_angle_alpha 90.00
_cell_angle_beta 90.00
_cell_angle_gamma 90.00
_space_group_name_H-M_alt 'P m -3 m'
_space_group_IT_number 221
_space_group_name_Hall '-P 4 2 3'
loop_
_atom_site_label
_atom_site_type_symbol
_atom_site_fract_x
_atom_site_fract_y
_atom_site_fract_z
_atom_site_occupancy
Na1 Na 0.000 0.000 0.000 1
P1 P 0.500 0.500 0.500 1
W1 W 0.000 0.000 0.500 1
```

E_form: 16.5 eV/f.u.

No. 2
Na6P4W | GGA-PBE | optimized geometry

CIF file:
```
data_Na6P4W
_chemical_formula_sum 'Na12 P8 W2'
_cell_length_a 9.1619
_cell_length_b 9.1619
_cell_length_c 7.1867
_cell_angle_alpha 90.00
_cell_angle_beta 90.00
_cell_angle_gamma 120.00
_space_group_name_H-M_alt 'P 63 m c'
_space_group_IT_number 186
_space_group_name_Hall 'P 6c -2c'
loop_
_atom_site_label
_atom_site_type_symbol
_atom_site_fract_x
_atom_site_fract_y
_atom_site_fract_z
_atom_site_occupancy
Na1 Na 0.0656 0.5328 0.0000 1
Na2 Na 0.1479 0.2958 0.6773 1
P1 P 0.1942 0.3885 0.2856 1
P2 P 0.3333 0.6667 0.7103 1
W1 W 0.3333 0.6667 0.3878 1
```

E_form: -4.5 eV/f.u.

No. 3
NaPW3 | GGA-PBE | optimized geometry

CIF file:
```
data_NaPW3
_chemical_formula_sum 'Na1 P1 W3'
_cell_length_a 4.537
_cell_length_b 4.537
_cell_length_c 4.537
_cell_angle_alpha 90.00
_cell_angle_beta 90.00
_cell_angle_gamma 90.00
_space_group_name_H-M_alt 'P m -3 m'
_space_group_IT_number 221
_space_group_name_Hall '-P 4 2 3'
loop_
_atom_site_label
_atom_site_type_symbol
_atom_site_fract_x
_atom_site_fract_y
_atom_site_fract_z
_atom_site_occupancy
Na1 Na 0.000 0.000 0.000 1
P1 P 0.500 0.500 0.500 1
W1 W 0.000 0.500 0.500 1
```

E_form: 5.9 eV/f.u.

No. 4
NaY3P | GGA-PBE | optimized geometry

CIF file:
```
data_NaY3P
_chemical_formula_sum 'Na1 Y3 P1'
_cell_length_a 5.418
_cell_length_b 5.418
_cell_length_c 5.418
_cell_angle_alpha 90.00
_cell_angle_beta 90.00
_cell_angle_gamma 90.00
_space_group_name_H-M_alt 'P m -3 m'
_space_group_IT_number 221
_space_group_name_Hall '-P 4 2 3'
loop_
_atom_site_label
_atom_site_type_symbol
_atom_site_fract_x
_atom_site_fract_y
_atom_site_fract_z
_atom_site_occupancy
Na1 Na 0.000 0.000 0.000 1
Y1 Y 0.000 0.500 0.500 1
P1 P 0.500 0.500 0.500 1
```

E_form: -1.8 eV/f.u.

No. 5
NaY2P2 | GGA-PBE | optimized geometry

CIF file:
```
data_NaY2P2
_chemical_formula_sum 'Na2 Y4 P4'
_cell_length_a 7.680
_cell_length_b 7.680
_cell_length_c 3.745
_cell_angle_alpha 90.00
_cell_angle_beta 90.00
_cell_angle_gamma 90.00
_space_group_name_H-M_alt 'P 4/m b m'
_space_group_IT_number 127
_space_group_name_Hall '-P 4 2ab'
loop_
_atom_site_label
_atom_site_type_symbol
_atom_site_fract_x
_atom_site_fract_y
_atom_site_fract_z
_atom_site_occupancy
Na1 Na 0.000 0.000 0.000 1
Y1 Y 0.153 0.347 0.500 1
P1 P 0.154 0.654 0.000 1
```

E_form: -5.2 eV/f.u.

No. 6
NaY3P | GGA-PBE | optimized geometry

CIF file:
```
data_NaY3P
_chemical_formula_sum 'Na1 Y3 P1'
_cell_length_a 5.349
_cell_length_b 5.349
_cell_length_c 5.349
_cell_angle_alpha 90.00
_cell_angle_beta 90.00
_cell_angle_gamma 90.00
_space_group_name_H-M_alt 'P m -3 m'
_space_group_IT_number 221
_space_group_name_Hall '-P 4 2 3'
loop_
_atom_site_label
_atom_site_type_symbol
_atom_site_fract_x
_atom_site_fract_y
_atom_site_fract_z
_atom_site_occupancy
Na1 Na 0.000 0.000 0.000 1
Y1 Y 0.000 0.000 0.500 1
P1 P 0.500 0.500 0.500 1
```

E_form: 4.7 eV/f.u.

No. 7
Na2Y2P | GGA-PBE | optimized geometry

CIF file:
```
data_Na2Y2P
_chemical_formula_sum 'Na4 Y4 P2'
_cell_length_a 7.177
_cell_length_b 7.177
_cell_length_c 5.014
_cell_angle_alpha 90.00
_cell_angle_beta 90.00
_cell_angle_gamma 90.00
_space_group_name_H-M_alt 'P 4/m b m'
_space_group_IT_number 127
_space_group_name_Hall '-P 4 2ab'
loop_
_atom_site_label
_atom_site_type_symbol
_atom_site_fract_x
_atom_site_fract_y
_atom_site_fract_z
_atom_site_occupancy
Na1 Na 0.141 0.359 0.000 1
Y1 Y 0.175 0.675 0.500 1
P1 P 0.000 0.000 0.000 1
```

E_form: 0.9 eV/f.u.

No. 8
NaY2P2 | GGA-PBE | optimized geometry

CIF file:
```
data_NaY2P2
_chemical_formula_sum 'Na2 Y4 P4'
_cell_length_a 5.374
_cell_length_b 5.374
_cell_length_c 10.627
_cell_angle_alpha 90.00
_cell_angle_beta 90.00
_cell_angle_gamma 90.00
_space_group_name_H-M_alt 'I 4/m m m'
_space_group_IT_number 139
_space_group_name_Hall '-I 4 2'
loop_
_atom_site_label
_atom_site_type_symbol
_atom_site_fract_x
_atom_site_fract_y
_atom_site_fract_z
_atom_site_occupancy
Na1 Na 0.000 0.000 0.000 1
Y1 Y 0.000 0.500 0.250 1
P1 P 0.000 0.000 0.300 1
```

E_form: -3.8 eV/f.u.

No. 9
Na2Y2P | GGA-PBE | optimized geometry

CIF file:
```
data_Na2Y2P
_chemical_formula_sum 'Na4 Y4 P2'
_cell_length_a 4.533
_cell_length_b 4.533
_cell_length_c 13.866
_cell_angle_alpha 90.00
_cell_angle_beta 90.00
_cell_angle_gamma 90.00
_space_group_name_H-M_alt 'I 4/m m m'
_space_group_IT_number 139
_space_group_name_Hall '-I 4 2'
loop_
_atom_site_label
_atom_site_type_symbol
_atom_site_fract_x
_atom_site_fract_y
_atom_site_fract_z
_atom_site_occupancy
Na1 Na 0.000 0.000 0.080 1
Y1 Y 0.000 0.500 0.250 1
P1 P 0.000 0.000 0.500 1
```

E_form: 3.0 eV/f.u.

No. 10
NaZnP3 | GGA-PBE | optimized geometry

CIF file:
```
data_NaZnP3
_chemical_formula_sum 'Na1 Zn1 P3'
_cell_length_a 4.748
_cell_length_b 4.748
_cell_length_c 4.748
_cell_angle_alpha 90.00
_cell_angle_beta 90.00
_cell_angle_gamma 90.00
_space_group_name_H-M_alt 'P m -3 m'
_space_group_IT_number 221
_space_group_name_Hall '-P 4 2 3'
loop_
_atom_site_label
_atom_site_type_symbol
_atom_site_fract_x
_atom_site_fract_y
_atom_site_fract_z
_atom_site_occupancy
Na1 Na 0.000 0.000 0.000 1
Zn1 Zn 0.500 0.500 0.500 1
P1 P 0.000 0.500 0.500 1
```

E_form: 3.2 eV/f.u.

No. 11
Na4Zn5P6 | GGA-PBE | optimized geometry

CIF file:
```
data_Na4Zn5P6
_chemical_formula_sum 'Na16 Zn20 P24'
_cell_length_a 4.018
_cell_length_b 18.516
_cell_length_c 15.893
_cell_angle_alpha 90.00
_cell_angle_beta 90.00
_cell_angle_gamma 90.00
_space_group_name_H-M_alt 'C m c 21'
_space_group_IT_number 36
loop_
_space_group_symop_operation_xyz
'x,y,z'
'-x,-y,z+1/2'
'-x,y,z'
'x,-y,z+1/2'
'x+1/2,y+1/2,z'
'-x+1/2,-y+1/2,z+1/2'
'-x+1/2,y+1/2,z'
'x+1/2,-y+1/2,z+1/2'
loop_
_atom_site_label
_atom_site_type_symbol
_atom_site_fract_x
_atom_site_fract_y
_atom_site_fract_z
_atom_site_occupancy
Na1 Na 0.000 0.001 0.000 1
Na2 Na 0.000 0.002 0.254 1
Na3 Na 0.000 0.181 0.446 1
Na4 Na 0.000 0.181 0.807 1
Zn1 Zn 0.000 0.132 0.127 1
Zn2 Zn 0.000 0.278 0.127 1
Zn3 Zn 0.000 0.364 0.490 1
Zn4 Zn 0.000 0.364 0.763 1
Zn5 Zn 0.000 0.431 0.127 1
P1 P 0.000 0.137 0.627 1
P2 P 0.000 0.207 0.256 1
P3 P 0.000 0.207 0.997 1
P4 P 0.000 0.443 0.627 1
P5 P 0.000 0.443 0.887 1
P6 P 0.000 0.444 0.367 1
```

E_form: -4.4 eV/f.u.

No. 12
NaZnP3 | GGA-PBE | optimized geometry

CIF file:
```
data_NaZnP3
_chemical_formula_sum 'Na1 Zn1 P3'
_cell_length_a 4.832
_cell_length_b 4.832
_cell_length_c 4.832
_cell_angle_alpha 90.00
_cell_angle_beta 90.00
_cell_angle_gamma 90.00
_space_group_name_H-M_alt 'P m -3 m'
_space_group_IT_number 221
_space_group_name_Hall '-P 4 2 3'
loop_
_atom_site_label
_atom_site_type_symbol
_atom_site_fract_x
_atom_site_fract_y
_atom_site_fract_z
_atom_site_occupancy
Na1 Na 0.000 0.000 0.000 1
Zn1 Zn 0.500 0.500 0.500 1
P1 P 0.000 0.000 0.500 1
```

E_form: 7.3 eV/f.u.

No. 13
NaZnP2 | GGA-PBE | optimized geometry

CIF file:
```
data_NaZnP2
_chemical_formula_sum 'Na4 Zn4 P8'
_cell_length_a 4.625
_cell_length_b 4.625
_cell_length_c 15.914
_cell_angle_alpha 90.00
_cell_angle_beta 90.00
_cell_angle_gamma 90.00
_space_group_name_H-M_alt 'I -4 2 d'
_space_group_IT_number 122
_space_group_name_Hall 'I -4 2bw'
loop_
_atom_site_label
_atom_site_type_symbol
_atom_site_fract_x
_atom_site_fract_y
_atom_site_fract_z
_atom_site_occupancy
Na1 Na 0.000 0.000 0.000 1
Zn1 Zn 0.000 0.000 0.500 1
P1 P 0.120 0.250 0.625 1
```

E_form: -0.1 eV/f.u.

No. 14
NaZrP3 | GGA-PBE | optimized geometry

CIF file:
```
data_NaZrP3
_chemical_formula_sum 'Na1 Zr1 P3'
_cell_length_a 4.668
_cell_length_b 4.668
_cell_length_c 4.668
_cell_angle_alpha 90.00
_cell_angle_beta 90.00
_cell_angle_gamma 90.00
_space_group_name_H-M_alt 'P m -3 m'
_space_group_IT_number 221
_space_group_name_Hall '-P 4 2 3'
loop_
_atom_site_label
_atom_site_type_symbol
_atom_site_fract_x
_atom_site_fract_y
_atom_site_fract_z
_atom_site_occupancy
Na1 Na 0.000 0.000 0.000 1
Zr1 Zr 0.500 0.500 0.500 1
P1 P 0.000 0.000 0.500 1
```

E_form: 5.2 eV/f.u.

No. 15
NaZrP3 | GGA-PBE | optimized geometry

CIF file:
```
data_NaZrP3
_chemical_formula_sum 'Na1 Zr1 P3'
_cell_length_a 5.057
_cell_length_b 5.057
_cell_length_c 5.057
_cell_angle_alpha 90.00
_cell_angle_beta 90.00
_cell_angle_gamma 90.00
_space_group_name_H-M_alt 'P m -3 m'
_space_group_IT_number 221
_space_group_name_Hall '-P 4 2 3'
loop_
_atom_site_label
_atom_site_type_symbol
_atom_site_fract_x
_atom_site_fract_y
_atom_site_fract_z
_atom_site_occupancy
Na1 Na 0.000 0.000 0.000 1
Zr1 Zr 0.500 0.500 0.500 1
P1 P 0.000 0.500 0.500 1
```

E_form: 0.0 eV/f.u.

No. 16
Na3ZrP | GGA-PBE | optimized geometry

CIF file:
```
data_Na3ZrP
_chemical_formula_sum 'Na3 Zr1 P1'
_cell_length_a 5.352
_cell_length_b 5.352
_cell_length_c 5.352
_cell_angle_alpha 90.00
_cell_angle_beta 90.00
_cell_angle_gamma 90.00
_space_group_name_H-M_alt 'P m -3 m'
_space_group_IT_number 221
_space_group_name_Hall '-P 4 2 3'
loop_
_atom_site_label
_atom_site_type_symbol
_atom_site_fract_x
_atom_site_fract_y
_atom_site_fract_z
_atom_site_occupancy
Na1 Na 0.000 0.000 0.500 1
Zr1 Zr 0.500 0.500 0.500 1
P1 P 0.000 0.000 0.000 1
```

E_form: 3.6 eV/f.u.

No. 17
NaZrP2 | GGA-PBE | optimized geometry

CIF file:
```
data_NaZrP2
_chemical_formula_sum 'Na3 Zr3 P6'
_cell_length_a 3.8604
_cell_length_b 3.8604
_cell_length_c 20.1787
_cell_angle_alpha 90.00
_cell_angle_beta 90.00
_cell_angle_gamma 120.00
_space_group_name_H-M_alt 'R -3 m'
_space_group_IT_number 166
_space_group_name_Hall '-R 3 2"'
loop_
_atom_site_label
_atom_site_type_symbol
_atom_site_fract_x
_atom_site_fract_y
_atom_site_fract_z
_atom_site_occupancy
Na1 Na 0.0000 0.0000 0.0000 1
Zr1 Zr 0.0000 0.0000 0.5000 1
P1 P 0.0000 0.0000 0.2371 1
```

E_form: -2.6 eV/f.u.

No. 18
NaZr2P | GGA-PBE | optimized geometry

CIF file:
```
data_NaZr2P
_chemical_formula_sum 'Na4 Zr8 P4'
_cell_length_a 7.811
_cell_length_b 7.811
_cell_length_c 5.784
_cell_angle_alpha 90.00
_cell_angle_beta 90.00
_cell_angle_gamma 90.00
_space_group_name_H-M_alt 'I -4 2 d'
_space_group_IT_number 122
_space_group_name_Hall 'I -4 2bw'
loop_
_atom_site_label
_atom_site_type_symbol
_atom_site_fract_x
_atom_site_fract_y
_atom_site_fract_z
_atom_site_occupancy
Na1 Na 0.000 0.000 0.000 1
Zr1 Zr 0.194 0.250 0.625 1
P1 P 0.000 0.000 0.500 1
```

E_form: -0.1 eV/f.u.

No. 19
Na3ZrP | GGA-PBE | optimized geometry

CIF file:
```
data_Na3ZrP
_chemical_formula_sum 'Na3 Zr1 P1'
_cell_length_a 6.010
_cell_length_b 6.010
_cell_length_c 6.010
_cell_angle_alpha 90.00
_cell_angle_beta 90.00
_cell_angle_gamma 90.00
_space_group_name_H-M_alt 'P m -3 m'
_space_group_IT_number 221
_space_group_name_Hall '-P 4 2 3'
loop_
_atom_site_label
_atom_site_type_symbol
_atom_site_fract_x
_atom_site_fract_y
_atom_site_fract_z
_atom_site_occupancy
Na1 Na 0.000 0.000 0.500 1
Zr1 Zr 0.000 0.000 0.000 1
P1 P 0.500 0.500 0.500 1
```

E_form: 7.7 eV/f.u.

No. 20
NaZrP2 | GGA-PBE | optimized geometry

CIF file:
```
data_NaZrP2
_chemical_formula_sum 'Na4 Zr4 P8'
_cell_length_a 6.608
_cell_length_b 6.608
_cell_length_c 6.608
_cell_angle_alpha 90.00
_cell_angle_beta 90.00
_cell_angle_gamma 90.00
_space_group_name_H-M_alt 'F m -3 m'
_space_group_IT_number 225
_space_group_name_Hall '-F 4 2 3'
loop_
_atom_site_label
_atom_site_type_symbol
_atom_site_fract_x
_atom_site_fract_y
_atom_site_fract_z
_atom_site_occupancy
Na1 Na 0.000 0.000 0.000 1
Zr1 Zr 0.000 0.000 0.500 1
P1 P 0.250 0.250 0.250 1
```

E_form: -1.5 eV/f.u.